1.
Material: Ti2MnCoSe
Method: DFT, GGA-PBEsol
State: relaxed Values from VASP.

Output
Symmetry   P4/mmm, No. 123
Magnetic moment   1.02 μB per formula unit
Density of states at the Fermi level   6.44 states/eV per cell
DFT total energy   -6.992 eV per atom

```
&SYSTEM
  ibrav = 0, nat = 5, ntyp = 4
/
ATOMIC_SPECIES
Ti 47.87 Ti.upf
Se 78.96 Se.upf
Mn 54.94 Mn.upf
Co 58.93 Co.upf
ATOMIC_POSITIONS angstrom
Ti 0.0000 0.0000 2.1987
Ti 0.0000 2.1987 0.0000
Se 2.1406 0.0000 0.0000
Mn 0.0000 0.0000 0.0000
Co 2.1406 2.1987 2.1987
CELL_PARAMETERS angstrom
4.2811 0.0000 0.0000
0.0000 4.3975 0.0000
0.0000 0.0000 4.3975
```

2.
Material: Y2MnCoSe
Method: DFT, GGA-PBEsol
State: relaxed Values from VASP.

Output
Symmetry   P4/mmm, No. 123
Magnetic moment   3.57 μB per formula unit
Density of states at the Fermi level   4.14 states/eV per cell
DFT total energy   -6.775 eV per atom

```
&SYSTEM
  ibrav = 0, nat = 5, ntyp = 4
/
ATOMIC_SPECIES
Y 88.91 Y.upf
Se 78.96 Se.upf
Mn 54.94 Mn.upf
Co 58.93 Co.upf
ATOMIC_POSITIONS angstrom
Y -1.2097 -1.9316 -1.3116
Y -2.2525 0.5767 1.2282
Se 0.0000 0.0000 0.0000
Mn -0.5044 1.3858 -1.5756
Co -3.9665 0.0309 -1.6591
CELL_PARAMETERS angstrom
-1.0087 2.7716 -3.1513
-2.4194 -3.8632 -2.6233
-4.5050 1.1533 2.4564
```

3.
Material: MnCoSi
Method: DFT, GGA-PBEsol
State: relaxed Values from VASP.

Output
Symmetry   P6_3/mmc, No. 194
Magnetic moment   2.23 μB per formula unit
Density of states at the Fermi level   4.78 states/eV per cell
DFT total energy   -7.834 eV per atom

```
&SYSTEM
  ibrav = 0, nat = 6, ntyp = 3
/
ATOMIC_SPECIES
Si 28.09 Si.upf
Co 58.93 Co.upf
Mn 54.94 Mn.upf
ATOMIC_POSITIONS angstrom
Si -0.6186 1.2058 2.1109
Si 0.0000 0.0000 0.0000
Co -2.0810 -0.7521 1.3102
Co -0.7202 -0.1056 4.3207
Mn -0.1016 -1.3113 2.2097
Mn -2.6996 0.4537 3.4212
CELL_PARAMETERS angstrom
-3.7510 -0.7957 -0.6447
2.1870 -2.4735 2.0537
-1.2372 2.4115 4.2219
```

4.
Material: MnCoSi
Method: DFT, GGA-PBEsol
State: relaxed Values from VASP.

Output
Symmetry   P6_3/mmc, No. 194
Magnetic moment   2.47 μB per formula unit
Density of states at the Fermi level   4.73 states/eV per cell
DFT total energy   -8.200 eV per atom

```
&SYSTEM
  ibrav = 0, nat = 6, ntyp = 3
/
ATOMIC_SPECIES
Mn 54.94 Mn.upf
Co 58.93 Co.upf
Si 28.09 Si.upf
ATOMIC_POSITIONS angstrom
Mn -0.3853 2.1832 1.0537
Mn 0.0000 0.0000 0.0000
Co 0.4739 0.2482 2.5182
Co -2.0921 2.3346 2.9749
Si -1.7068 0.1514 1.9213
Si 0.0886 2.4314 3.5718
CELL_PARAMETERS angstrom
-3.6948 -1.0370 0.7975
2.8472 -0.7466 2.5883
-0.7706 4.3664 2.1073
```

5.
Material: MnCoSi
Method: DFT, GGA-PBEsol
State: relaxed Values from VASP.

Output
Symmetry   Pnma, No. 62
Magnetic moment   3.23 μB per formula unit
Density of states at the Fermi level   9.54 states/eV per cell
DFT total energy   -8.206 eV per atom

```
&SYSTEM
  ibrav = 0, nat = 12, ntyp = 3
/
ATOMIC_SPECIES
Mn 54.94 Mn.upf
Co 58.93 Co.upf
Si 28.09 Si.upf
ATOMIC_POSITIONS angstrom
Mn -2.8164 -2.2362 1.1495
Mn -7.0370 -3.8335 1.7960
Mn -5.7490 -1.5843 0.4047
Mn -1.5285 0.0130 -0.2418
Co -6.6412 -1.4895 2.9761
Co -1.9243 -2.3310 -1.4220
Co -4.6999 -4.0226 0.5969
Co -3.8655 0.2020 0.9573
Si -5.8458 0.3663 1.9720
Si -4.8748 -2.7298 2.4105
Si -3.6907 -1.0908 -0.8563
Si -2.7197 -4.1868 -0.4179
CELL_PARAMETERS angstrom
-1.6470 -0.9499 -3.0603
-1.0110 -5.0852 2.1225
-5.9075 2.2146 2.4919
```

6.
Material: MnCoSn
Method: DFT, GGA-PBEsol
State: relaxed Values from VASP.

Output
Symmetry   P6_3/mmc, No. 194
Magnetic moment   4.29 μB per formula unit
Density of states at the Fermi level   9.61 states/eV per cell
DFT total energy   -6.965 eV per atom
Calculated formation energy   287 meV per atom

```
&SYSTEM
  ibrav = 0, nat = 6, ntyp = 3
/
ATOMIC_SPECIES
Sn 118.71 Sn.upf
Co 58.93 Co.upf
Mn 54.94 Mn.upf
ATOMIC_POSITIONS angstrom
Sn 2.1856 1.2618 3.9332
Sn 0.0000 2.5237 1.3111
Co 0.0000 0.0000 2.6222
Co 0.0000 0.0000 0.0000
Mn 0.0000 2.5237 3.9332
Mn 2.1856 1.2618 1.3111
CELL_PARAMETERS angstrom
4.3711 0.0000 0.0000
-2.1856 3.7855 0.0000
0.0000 0.0000 5.2443
```

7.
Material: Sr2MnCo
Method: DFT, GGA-PBEsol
State: relaxed Values from VASP.

Output
Symmetry   R-3m, No. 166
Magnetic moment   5.00 μB per formula unit
Density of states at the Fermi level   5.38 states/eV per cell
DFT total energy   -4.285 eV per atom
Calculated formation energy   1010 meV per atom

```
&SYSTEM
  ibrav = 0, nat = 4, ntyp = 3
/
ATOMIC_SPECIES
Sr 87.62 Sr.upf
Co 58.93 Co.upf
Mn 54.94 Mn.upf
ATOMIC_POSITIONS angstrom
Sr -0.4524 -2.4371 2.2875
Sr -1.7768 -6.1234 6.5883
Co -1.1146 -4.2802 4.4379
Mn 0.0000 0.0000 0.0000
CELL_PARAMETERS angstrom
-0.5643 0.6444 3.6545
-3.3167 -0.8119 1.5586
1.6519 -8.3929 3.6626
```

8.
Material: SrMnCo2
Method: DFT, GGA-PBEsol
State: relaxed Values from VASP.

Output
Symmetry   P4/mmm, No. 123
Magnetic moment   3.72 μB per formula unit
Density of states at the Fermi level   5.31 states/eV per cell
DFT total energy   -6.245 eV per atom
Calculated formation energy   523 meV per atom

```
&SYSTEM
  ibrav = 0, nat = 4, ntyp = 3
/
ATOMIC_SPECIES
Sr 87.62 Sr.upf
Co 58.93 Co.upf
Mn 54.94 Mn.upf
ATOMIC_POSITIONS angstrom
Sr 1.4828 1.4828 3.4485
Co 0.0000 0.0000 5.7046
Co 0.0000 0.0000 1.1924
Mn 1.4828 1.4828 0.0000
CELL_PARAMETERS angstrom
2.9655 0.0000 0.0000
0.0000 2.9655 0.0000
0.0000 0.0000 6.8970
```

9.
Material: Sr2MnCo
Method: DFT, GGA-PBEsol
State: relaxed Values from VASP.

Output
Symmetry   P4/mmm, No. 123
Magnetic moment   4.68 μB per formula unit
Density of states at the Fermi level   8.26 states/eV per cell
DFT total energy   -4.477 eV per atom
Calculated formation energy   818 meV per atom

```
&SYSTEM
  ibrav = 0, nat = 4, ntyp = 3
/
ATOMIC_SPECIES
Sr 87.62 Sr.upf
Co 58.93 Co.upf
Mn 54.94 Mn.upf
ATOMIC_POSITIONS angstrom
Sr 0.0000 0.0000 0.0000
Sr -0.7911 -2.1503 2.7844
Co -2.8378 -0.1046 1.4478
Mn -1.3209 -2.8882 -0.2709
CELL_PARAMETERS angstrom
-3.3676 -0.8425 -1.6075
0.7257 -4.9339 1.0657
-2.3080 0.6332 4.5032
```

10.
Material: SrMnZn2Co
Method: DFT, GGA-PBEsol
State: relaxed Values from VASP.

Output
Symmetry   P4/mmm, No. 123
Magnetic moment   4.88 μB per formula unit
Density of states at the Fermi level   6.33 states/eV per cell
DFT total energy   -3.353 eV per atom
Calculated formation energy   1147 meV per atom

```
&SYSTEM
  ibrav = 0, nat = 5, ntyp = 4
/
ATOMIC_SPECIES
Co 58.93 Co.upf
Mn 54.94 Mn.upf
Sr 87.62 Sr.upf
Zn 65.41 Zn.upf
ATOMIC_POSITIONS angstrom
Co -4.1592 0.1292 0.7390
Mn 0.0000 0.0000 0.0000
Sr -1.4425 -1.5087 1.6282
Zn -1.6087 -0.2587 -1.6650
Zn -1.1081 1.8967 0.7759
CELL_PARAMETERS angstrom
-2.2161 3.7933 1.5517
-3.2174 -0.5175 -3.3300
-2.8849 -3.0175 3.2563
```

11.
Material: Ta2MnCo
Method: DFT, GGA-PBEsol
State: relaxed Values from VASP.

Output
Symmetry   P4/mmm, No. 123
Magnetic moment   1.10 μB per formula unit
Density of states at the Fermi level   3.53 states/eV per cell
DFT total energy   -10.810 eV per atom
Calculated formation energy   -160 meV per atom

```
&SYSTEM
  ibrav = 0, nat = 4, ntyp = 3
/
ATOMIC_SPECIES
Ta 180.95 Ta.upf
Mn 54.94 Mn.upf
Co 58.93 Co.upf
ATOMIC_POSITIONS angstrom
Ta 2.9390 -2.9620 -1.7323
Ta 0.8180 -2.6493 1.9503
Mn 0.7311 -3.5969 -0.4847
Co -1.2330 -1.6176 0.6733
CELL_PARAMETERS angstrom
-0.1713 -1.6527 2.5339
-2.2948 -1.5826 -1.1873
3.9283 -3.9586 -2.3159
```

12.
Material: TaMn2Co
Method: DFT, GGA-PBEsol
State: relaxed Values from VASP.

Output
Symmetry   R3m, No. 160
Magnetic moment   1.53 μB per formula unit
Density of states at the Fermi level   5.22 states/eV per cell
DFT total energy   -9.642 eV per atom
Calculated formation energy   311 meV per atom

```
&SYSTEM
  ibrav = 0, nat = 4, ntyp = 3
/
ATOMIC_SPECIES
Co 58.93 Co.upf
Mn 54.94 Mn.upf
Ta 180.95 Ta.upf
ATOMIC_POSITIONS angstrom
Co 1.3252 0.7651 1.8834
Mn 3.9755 2.2953 6.4255
Mn 1.3252 0.7651 8.2318
Ta 2.6503 1.5302 4.0976
CELL_PARAMETERS angstrom
2.6503 0.0000 0.0000
1.3252 2.2953 0.0000
1.3252 0.7651 8.2553
```